A plane-wave DFT calculation with meta-GGA SCAN was carried out for ReNiW2 at its PBEsol-relaxed geometry.

Values from the calculation:
SG ... No. 99
Energy of formation ... 0.229 eV per atom
Energy relative to the lowest polymorph listed for this composition ... 161.9 meV per atom

a b c (Å): 2.652 2.652 8.071
angles (deg): 90.00 90.00 90.00
Fractional coordinates of all 4 atoms:
1 Re 0.000 0.000 0.000
2 Ni 0.500 0.500 0.779
3 W 0.000 0.000 0.548
4 W 0.500 0.500 0.269